(1)
A relaxed structure of Ba3Si23. Source: Alexandria via LeMat-Bulk, functional PBEsol.

CIF file:
```
data_Ba3Si23
_cell_length_a 10.222
_cell_length_b 10.222
_cell_length_c 10.222
_cell_angle_alpha 90.00
_cell_angle_beta 90.00
_cell_angle_gamma 90.00
_symmetry_space_group_name_H-M 'P 1'
_symmetry_Int_Tables_number 1
_symmetry_space_group_name_Hall 'P 1'
loop_
_atom_site_label
_atom_site_type_symbol
_atom_site_fract_x
_atom_site_fract_y
_atom_site_fract_z
_atom_site_occupancy
Ba1 Ba 0.750 0.500 0.000 1
Ba2 Ba 0.250 0.500 0.000 1
Ba3 Ba 0.000 0.750 0.500 1
Ba4 Ba 0.000 0.250 0.500 1
Ba5 Ba 0.500 0.000 0.250 1
Ba6 Ba 0.500 0.000 0.750 1
Si1 Si 0.750 0.000 0.500 1
Si2 Si 0.250 0.000 0.500 1
Si3 Si 0.500 0.750 0.000 1
Si4 Si 0.500 0.250 0.000 1
Si5 Si 0.000 0.500 0.250 1
Si6 Si 0.000 0.500 0.750 1
Si7 Si 0.816 0.816 0.184 1
Si8 Si 0.184 0.184 0.184 1
Si9 Si 0.184 0.816 0.816 1
Si10 Si 0.816 0.184 0.816 1
Si11 Si 0.316 0.316 0.316 1
Si12 Si 0.684 0.684 0.316 1
Si13 Si 0.316 0.684 0.684 1
Si14 Si 0.684 0.316 0.684 1
Si15 Si 0.184 0.184 0.816 1
Si16 Si 0.816 0.816 0.816 1
Si17 Si 0.816 0.184 0.184 1
Si18 Si 0.184 0.816 0.184 1
Si19 Si 0.684 0.684 0.684 1
Si20 Si 0.316 0.316 0.684 1
Si21 Si 0.684 0.316 0.316 1
Si22 Si 0.316 0.684 0.316 1
Si23 Si 0.000 0.695 0.120 1
Si24 Si 0.000 0.305 0.120 1
Si25 Si 0.000 0.695 0.880 1
Si26 Si 0.000 0.305 0.880 1
Si27 Si 0.880 0.000 0.305 1
Si28 Si 0.880 0.000 0.695 1
Si29 Si 0.120 0.000 0.305 1
Si30 Si 0.120 0.000 0.695 1
Si31 Si 0.695 0.880 0.000 1
Si32 Si 0.305 0.880 0.000 1
Si33 Si 0.695 0.120 0.000 1
Si34 Si 0.305 0.120 0.000 1
Si35 Si 0.195 0.500 0.380 1
Si36 Si 0.805 0.500 0.380 1
Si37 Si 0.195 0.500 0.620 1
Si38 Si 0.805 0.500 0.620 1
Si39 Si 0.500 0.380 0.195 1
Si40 Si 0.500 0.380 0.805 1
Si41 Si 0.500 0.620 0.195 1
Si42 Si 0.500 0.620 0.805 1
Si43 Si 0.380 0.195 0.500 1
Si44 Si 0.380 0.805 0.500 1
Si45 Si 0.620 0.195 0.500 1
Si46 Si 0.620 0.805 0.500 1
```

Final energy   -284.1 eV/cell
Uncorrected formation energy   -0.1319 eV per atom
Total moment   0.001 μB/f.u.

(2)
A relaxed structure of Ba3Si4. Source: Alexandria via LeMat-Bulk, functional PBEsol.

CIF file:
```
data_Ba3Si4
_cell_length_a 8.427
_cell_length_b 8.427
_cell_length_c 11.818
_cell_angle_alpha 90.00
_cell_angle_beta 90.00
_cell_angle_gamma 90.00
_symmetry_space_group_name_H-M 'P 1'
_symmetry_Int_Tables_number 1
_symmetry_space_group_name_Hall 'P 1'
loop_
_atom_site_label
_atom_site_type_symbol
_atom_site_fract_x
_atom_site_fract_y
_atom_site_fract_z
_atom_site_occupancy
Ba1 Ba 0.335 0.335 0.000 1
Ba2 Ba 0.665 0.665 0.000 1
Ba3 Ba 0.165 0.835 0.500 1
Ba4 Ba 0.835 0.165 0.500 1
Ba5 Ba 0.000 0.000 0.168 1
Ba6 Ba 0.500 0.500 0.668 1
Ba7 Ba 0.500 0.500 0.332 1
Ba8 Ba 0.000 0.000 0.832 1
Ba9 Ba 0.000 0.500 0.250 1
Ba10 Ba 0.000 0.500 0.750 1
Ba11 Ba 0.500 0.000 0.250 1
Ba12 Ba 0.500 0.000 0.750 1
Si1 Si 0.902 0.302 0.000 1
Si2 Si 0.098 0.698 0.000 1
Si3 Si 0.198 0.402 0.500 1
Si4 Si 0.802 0.598 0.500 1
Si5 Si 0.598 0.802 0.500 1
Si6 Si 0.402 0.198 0.500 1
Si7 Si 0.302 0.902 0.000 1
Si8 Si 0.698 0.098 0.000 1
Si9 Si 0.199 0.199 0.356 1
Si10 Si 0.801 0.801 0.356 1
Si11 Si 0.301 0.699 0.856 1
Si12 Si 0.699 0.301 0.856 1
Si13 Si 0.301 0.699 0.144 1
Si14 Si 0.699 0.301 0.144 1
Si15 Si 0.199 0.199 0.644 1
Si16 Si 0.801 0.801 0.644 1
```

Final energy   -130.0 eV/cell
Uncorrected formation energy   -0.4389 eV per atom
Total moment   0.000 μB/f.u.

Number 1: density of states at the Fermi level 0.554 states/eV/atom. Number 2: density of states at the Fermi level 0.355 states/eV/atom.